# 1
# PBEsol Gd2HgO4, optimized geometry
# - formation energy (no corrections) (eV/f.u.) = -18.37
data_Gd2HgO4
_chemical_formula_sum 'Gd8 Hg4 O16'
_space_group_name_H-M_alt 'C 1 2/m 1'
_space_group_IT_number 12
_space_group_name_Hall '-C 2y'
_cell_length_a 13.589
_cell_length_b 3.662
_cell_length_c 10.106
_cell_angle_alpha 90.00
_cell_angle_beta 122.25
_cell_angle_gamma 90.00
loop_
_atom_site_label
_atom_site_type_symbol
_atom_site_fract_x
_atom_site_fract_y
_atom_site_fract_z
Gd1 Gd 0.119 0.000 0.461
Gd2 Gd 0.161 0.500 0.800
Hg1 Hg 0.113 0.500 0.162
O1 O 0.035 0.500 0.282
O2 O 0.082 0.000 0.653
O3 O 0.202 0.500 0.054
O4 O 0.233 0.500 0.614


# 2
# PBEsol PmGdHg2, optimized geometry
# - formation energy from the elements (eV per atom) = -0.57
data_PmGdHg2
_chemical_formula_sum 'Pm4 Gd4 Hg8'
_space_group_name_H-M_alt 'F m -3 m'
_space_group_IT_number 225
_space_group_name_Hall '-F 4 2 3'
_cell_length_a 7.412
_cell_length_b 7.412
_cell_length_c 7.412
_cell_angle_alpha 90.00
_cell_angle_beta 90.00
_cell_angle_gamma 90.00
loop_
_atom_site_label
_atom_site_type_symbol
_atom_site_fract_x
_atom_site_fract_y
_atom_site_fract_z
Pm1 Pm 0.000 0.000 0.000
Gd1 Gd 0.000 0.000 0.500
Hg1 Hg 0.250 0.250 0.250


# 3
# PBEsol Gd2TlHg, optimized geometry
# - formation energy from the elements (eV per atom) = -0.54
data_Gd2TlHg
_chemical_formula_sum 'Gd8 Tl4 Hg4'
_space_group_name_H-M_alt 'F m -3 m'
_space_group_IT_number 225
_space_group_name_Hall '-F 4 2 3'
_cell_length_a 7.438
_cell_length_b 7.438
_cell_length_c 7.438
_cell_angle_alpha 90.00
_cell_angle_beta 90.00
_cell_angle_gamma 90.00
loop_
_atom_site_label
_atom_site_type_symbol
_atom_site_fract_x
_atom_site_fract_y
_atom_site_fract_z
Gd1 Gd 0.250 0.250 0.250
Tl1 Tl 0.000 0.000 0.000
Hg1 Hg 0.000 0.000 0.500


# 4
# PBEsol Gd3Ho, optimized geometry
# - formation energy from the elements (eV per atom) = 0.03
data_Gd3Ho
_chemical_formula_sum 'Gd6 Ho2'
_space_group_name_H-M_alt 'I 4/m m m'
_space_group_IT_number 139
_space_group_name_Hall '-I 4 2'
_cell_length_a 4.930
_cell_length_b 4.930
_cell_length_c 9.834
_cell_angle_alpha 90.00
_cell_angle_beta 90.00
_cell_angle_gamma 90.00
loop_
_atom_site_label
_atom_site_type_symbol
_atom_site_fract_x
_atom_site_fract_y
_atom_site_fract_z
Gd1 Gd 0.000 0.000 0.000
Gd2 Gd 0.000 0.500 0.250
Ho1 Ho 0.000 0.000 0.500


# 5
# PBEsol GdHo3, optimized geometry
# - formation energy from the elements (eV per atom) = 0.01
data_GdHo3
_chemical_formula_sum 'Gd2 Ho6'
_space_group_name_H-M_alt 'I 4/m m m'
_space_group_IT_number 139
_space_group_name_Hall '-I 4 2'
_cell_length_a 4.899
_cell_length_b 4.899
_cell_length_c 9.775
_cell_angle_alpha 90.00
_cell_angle_beta 90.00
_cell_angle_gamma 90.00
loop_
_atom_site_label
_atom_site_type_symbol
_atom_site_fract_x
_atom_site_fract_y
_atom_site_fract_z
Gd1 Gd 0.000 0.000 0.000
Ho1 Ho 0.000 0.000 0.500
Ho2 Ho 0.000 0.500 0.250


# 6
# PBEsol GdI3O9, optimized geometry
# - formation energy (no corrections) (eV/f.u.) = -13.11
data_GdI3O9
_chemical_formula_sum 'Gd4 I12 O36'
_space_group_name_H-M_alt 'P 1 21/c 1'
_space_group_IT_number 14
_space_group_name_Hall '-P 2ybc'
_cell_length_a 7.145
_cell_length_b 8.276
_cell_length_c 13.282
_cell_angle_alpha 90.00
_cell_angle_beta 101.11
_cell_angle_gamma 90.00
loop_
_atom_site_label
_atom_site_type_symbol
_atom_site_fract_x
_atom_site_fract_y
_atom_site_fract_z
Gd1 Gd 0.178 0.242 0.146
I1 I 0.177 0.717 0.114
I2 I 0.270 0.010 0.889
I3 I 0.334 0.538 0.864
O1 O 0.013 0.516 0.379
O2 O 0.031 0.176 0.484
O3 O 0.146 0.692 0.826
O4 O 0.168 0.530 0.188
O5 O 0.253 0.211 0.828
O6 O 0.318 0.054 0.026
O7 O 0.351 0.026 0.234
O8 O 0.365 0.659 0.045
O9 O 0.470 0.180 0.624


# 7
# PBEsol GdSI, optimized geometry
# - formation energy (no corrections) (eV/f.u.) = -5.41
data_GdSI
_chemical_formula_sum 'Gd2 S2 I2'
_space_group_name_H-M_alt 'P m m n'
_space_group_IT_number 59
_cell_length_a 4.180
_cell_length_b 5.329
_cell_length_c 9.368
_cell_angle_alpha 90.00
_cell_angle_beta 90.00
_cell_angle_gamma 90.00
loop_
_space_group_symop_operation_xyz
'x,y,z'
'-x,-y,-z'
'-x+1/2,-y+1/2,z'
'x+1/2,y+1/2,-z'
'x+1/2,-y,-z'
'-x+1/2,y,z'
'-x,y+1/2,-z'
'x,-y+1/2,z'
loop_
_atom_site_label
_atom_site_type_symbol
_atom_site_fract_x
_atom_site_fract_y
_atom_site_fract_z
Gd1 Gd 0.250 0.250 0.122
S1 S 0.250 0.750 0.066
I1 I 0.250 0.750 0.642


# 8
# PBEsol Gd3In, optimized geometry
# - formation energy from the elements (eV per atom) = -0.34
data_Gd3In
_chemical_formula_sum 'Gd3 In1'
_space_group_name_H-M_alt 'P m -3 m'
_space_group_IT_number 221
_space_group_name_Hall '-P 4 2 3'
_cell_length_a 4.786
_cell_length_b 4.786
_cell_length_c 4.786
_cell_angle_alpha 90.00
_cell_angle_beta 90.00
_cell_angle_gamma 90.00
loop_
_atom_site_label
_atom_site_type_symbol
_atom_site_fract_x
_atom_site_fract_y
_atom_site_fract_z
Gd1 Gd 0.000 0.000 0.500
In1 In 0.500 0.500 0.500


no.,density of states at the Fermi level (states/eV/atom)
1,0.000
2,1.236
3,0.520
4,1.725
5,1.436
6,0.000
7,0.000
8,0.675